The following is a GGA-PBE calculation of an optimized crystal structure of HoMn2Se4, from the Alexandria database.

a = 3.846 Å, b = 12.557 Å, c = 12.674 Å
α = 90.00°, β = 90.00°, γ = 90.00°
Space group Cmcm (No. 63)
Symmetry-distinct sites (fractional):
Ho (0.000, 0.115, 0.250) (multiplicity 4)
Mn (0.000, 0.368, 0.067) (multiplicity 8)
Se (0.000, 0.000, 0.000) (multiplicity 4)
Se (0.000, 0.277, 0.613) (multiplicity 8)
Se (0.000, 0.449, 0.250) (multiplicity 4)

Its total energy is -0.2273 hartree per atom. Its calculated density is 6.4 g/cm³.

=====

The following is a GGA-PBE calculation of an optimized crystal structure of Nd12Co5Pb, from the Alexandria database.

a = 9.814 Å, b = 9.878 Å, c = 10.160 Å
α = 90.00°, β = 90.00°, γ = 90.00°
Space group Immm (No. 71)
Symmetry-distinct sites (fractional):
Nd (0.000, 0.191, 0.198) (multiplicity 8)
Nd (0.192, 0.500, 0.186) (multiplicity 8)
Nd (0.200, 0.314, 0.500) (multiplicity 8)
Co (0.000, 0.000, 0.000) (multiplicity 2)
Co (0.000, 0.382, 0.000) (multiplicity 4)
Co (0.000, 0.500, 0.389) (multiplicity 4)
Pb (0.000, 0.000, 0.500) (multiplicity 2)

Its calculated density is 7.5 g/cm³. For the energy of formation from the pure elements, the calculation gives -0.1489 eV per atom.

=====

The following is a GGA-PBE calculation of an optimized crystal structure of PuPaH2, from the Alexandria database.

a = 3.2409 Å, b = 3.2409 Å, c = 18.6578 Å
α = 90.00°, β = 90.00°, γ = 120.00°
Space group R3m (No. 160, hexagonal axes)
Symmetry-distinct sites (fractional):
Pu (0.0000, 0.0000, 0.0000) (multiplicity 3)
Pa (0.0000, 0.0000, 0.8279) (multiplicity 3)
H (0.0000, 0.0000, 0.4151) (multiplicity 3)
H (0.0000, 0.0000, 0.5799) (multiplicity 3)

For the offset from the most stable computed form, the calculation gives 84 meV per atom. Its calculated density is 14.0 g/cm³.